# 1
CePr6Dy10, relaxed, DFT PBE; calculated formation energy = 0.146 eV per atom; crystal system = trigonal
1.0
-4.4169 1.7034 5.0942
3.3077 -7.4428 5.3566
4.2042 8.7661 0.7139
Pr Dy Ce
6 10 1
direct
0.7021 0.3800 0.3800
0.2979 0.3800 0.0000
0.2979 0.0000 0.3800
0.2979 0.6200 0.6200
0.7021 0.0000 0.6200
0.7021 0.6200 0.0000
0.8166 0.0000 0.2699
0.5000 0.3333 0.6667
0.0000 0.6667 0.3333
0.5000 0.6667 0.3333
0.0000 0.3333 0.6667
0.1834 0.2699 0.2699
0.8166 0.7301 0.7301
0.1834 0.7301 0.0000
0.1834 0.0000 0.7301
0.8166 0.2699 0.0000
0.5000 0.0000 0.0000

---

# 2
CePr6Dy4, relaxed, DFT PBE; calculated formation energy = 0.297 eV per atom; crystal system = tetragonal
1.0
-2.1791 0.0174 9.7629
-4.0241 -2.0552 -8.9244
4.3787 -5.5939 -7.0426
Ce Dy Pr
1 4 6
direct
0.0000 0.0000 0.0000
0.6280 0.9904 0.9904
0.3720 0.3623 0.3623
0.0000 0.0096 0.6377
0.0000 0.6377 0.0096
0.6352 0.1822 0.1822
0.5000 0.0000 0.5000
0.0000 0.8178 0.4530
0.3648 0.5470 0.5470
0.5000 0.5000 0.0000
0.0000 0.4530 0.8178

---

# 3
CePr2Dy, relaxed, DFT PBE; calculated formation energy = 0.081 eV per atom; crystal system = tetragonal
1.0
5.0985 0.0000 0.0000
0.0000 5.1247 0.0000
0.0000 0.0000 5.1247
Ce Dy Pr
1 1 2
direct
0.5000 0.5000 0.5000
0.5000 0.0000 0.0000
0.0000 0.0000 0.5000
0.0000 0.5000 0.0000

---

# 4
CePrDy6, relaxed, DFT PBE; calculated formation energy = 0.044 eV per atom; crystal system = tetragonal
1.0
-3.8317 -2.1365 2.4699
-1.7642 -1.8501 -4.3373
5.4935 -8.3287 1.3181
Dy Pr Ce
6 1 1
direct
0.5000 0.0000 0.7457
0.0000 0.5000 0.7457
0.5000 0.0000 0.2543
0.5000 0.5000 0.0000
0.0000 0.5000 0.2543
0.5000 0.5000 0.5000
0.0000 0.0000 0.0000
0.0000 0.0000 0.5000

---

# 5
Ce2PrDy, relaxed, DFT PBE; calculated formation energy = 0.108 eV per atom; crystal system = trigonal
1.0
-1.8080 2.8890 0.8644
-1.8393 1.7222 -2.4522
-10.5856 -5.0463 1.8752
Dy Ce Pr
1 2 1
direct
0.0000 0.0000 0.0000
0.2516 0.2516 0.2452
0.7484 0.7484 0.7548
0.5000 0.5000 0.5000

---

# 6
CePr4Dy5, relaxed, DFT PBE; calculated formation energy = 0.239 eV per atom; crystal system = monoclinic
1.0
5.6891 0.0000 -1.3784
-1.0777 10.9709 -4.4481
-1.2368 -3.5070 7.3250
Dy Pr Ce
5 4 1
direct
0.8440 0.2775 0.6880
0.8464 0.9222 0.6927
0.1560 0.7225 0.3120
0.5000 0.5000 0.0000
0.1536 0.0778 0.3072
0.1615 0.3967 0.3229
0.8385 0.6033 0.6771
0.4170 0.1643 0.8340
0.5830 0.8357 0.1660
0.5000 0.0000 0.0000

---

# 7
CePr4Dy3S8, relaxed, DFT PBE; uncorrected formation energy = -2018 meV per atom; crystal system = trigonal
1.0
8.0069 0.0000 0.0000
0.0000 8.0742 0.0419
-4.0034 -3.9993 5.6646
S Ce Pr Dy
8 1 4 3
direct
0.2470 0.7345 0.4940
0.7437 0.7312 0.4874
0.2563 0.2688 0.5126
0.7405 0.7345 0.9875
0.7530 0.2655 0.0125
0.2595 0.2655 0.0125
0.7530 0.2655 0.5060
0.2470 0.7345 0.9875
0.0000 0.5000 0.0000
0.5000 0.0000 0.5000
0.0000 0.0000 0.5000
0.5000 0.0000 0.0000
0.0000 0.0000 0.0000
0.5000 0.5000 0.5000
0.0000 0.5000 0.5000
0.5000 0.5000 0.0000

---

# 8
CePr3Dy3S8, relaxed, DFT PBE; uncorrected formation energy = -2021 meV per atom; crystal system = trigonal
1.0
7.9815 0.0001 0.0000
-3.9907 6.9119 -0.0244
0.0000 -4.5850 6.6011
Dy S Pr Ce
3 8 3 1
direct
0.5000 0.0000 0.5000
0.0000 0.5000 0.5000
0.5000 0.5000 0.5000
0.7485 0.0123 0.2608
0.2557 0.5115 0.2672
0.2515 0.5030 0.7392
0.2637 0.0123 0.2608
0.7485 0.4970 0.2608
0.7443 0.4885 0.7328
0.2515 0.9877 0.7392
0.7363 0.9877 0.7392
0.0000 0.5000 0.0000
0.5000 0.5000 0.0000
0.0000 0.0000 0.0000
0.0000 0.0000 0.5000

---

# 9
CePrDy2S4, relaxed, DFT PBE; uncorrected formation energy = -2021 meV per atom; crystal system = monoclinic
1.0
3.9520 0.0000 0.0000
0.0000 6.8659 0.1225
0.0000 -2.3955 6.5594
Ce Dy S Pr
1 2 4 1
direct
0.5000 0.5000 0.0000
0.0000 0.5000 0.5000
0.5000 0.0000 0.5000
0.0000 0.7521 0.2639
0.5000 0.7417 0.7340
0.5000 0.2583 0.2660
0.0000 0.2479 0.7361
0.0000 0.0000 0.0000

---

# 10
Ce3Pr2DyS6, relaxed, DFT PBE; uncorrected formation energy = -2029 meV per atom; crystal system = monoclinic
1.0
-3.3526 -5.9401 -1.5278
4.7933 2.5428 -4.4065
4.2019 -2.3076 5.0900
Ce S Pr Dy
3 6 2 1
direct
0.5000 0.5000 0.5000
0.1701 0.8299 0.5000
0.8299 0.1701 0.5000
0.0826 0.4061 0.2484
0.2390 0.2390 0.7478
0.9174 0.5939 0.7516
0.5939 0.9174 0.7516
0.7610 0.7610 0.2522
0.4061 0.0826 0.2484
0.3337 0.6663 0.0000
0.6663 0.3337 0.0000
0.0000 0.0000 0.0000

---

# 11
Ce2PrDyS5, relaxed, DFT PBE; uncorrected formation energy = -1490 meV per atom; crystal system = tetragonal
1.0
4.9037 0.0000 0.0000
0.0000 4.9037 0.0000
0.0000 0.0000 10.5924
Ce S Dy Pr
2 5 1 1
direct
0.5000 0.5000 0.6901
0.5000 0.5000 0.3099
0.0000 0.0000 0.2505
0.0000 0.0000 0.7495
0.5000 0.0000 0.5000
0.5000 0.5000 0.0000
0.0000 0.5000 0.5000
0.0000 0.0000 0.5000
0.0000 0.0000 0.0000

---

# 12
Ce3PrDy2S6, relaxed, DFT PBE; uncorrected formation energy = -2027 meV per atom; crystal system = monoclinic
1.0
6.9216 -0.0022 -0.0016
-3.4611 5.9941 -0.0016
-1.1558 -2.0012 6.5557
S Dy Pr Ce
6 2 1 3
direct
0.9183 0.5749 0.7549
0.5749 0.9183 0.7549
0.0817 0.4251 0.2451
0.7369 0.7369 0.2411
0.2631 0.2631 0.7589
0.4251 0.0817 0.2451
0.3330 0.6670 0.0000
0.6670 0.3330 0.0000
0.0000 0.0000 0.0000
0.1629 0.8371 0.5000
0.8371 0.1629 0.5000
0.5000 0.5000 0.5000

---

# 13
Ce3Pr4DyS8, relaxed, DFT PBE; uncorrected formation energy = -2030 meV per atom; crystal system = trigonal
1.0
-3.0171 -4.8216 5.7727
-3.5140 -4.5921 -5.6721
7.9685 1.4460 -0.3160
Pr S Ce Dy
4 8 3 1
direct
0.0000 0.0000 0.0000
0.5000 0.0000 0.5000
0.5000 0.0000 0.0000
0.0000 0.0000 0.5000
0.7478 0.7435 0.4957
0.2484 0.2608 0.0046
0.7562 0.2609 0.5124
0.2438 0.7392 0.9954
0.7562 0.2608 0.0046
0.2438 0.7391 0.4876
0.2522 0.2565 0.5043
0.7516 0.7392 0.9954
0.5000 0.5000 0.0000
0.5000 0.5000 0.5000
0.0000 0.5000 0.5000
0.0000 0.5000 0.0000

---

# 14
CePr3Dy2S6, relaxed, DFT PBE; uncorrected formation energy = -2022 meV per atom; crystal system = monoclinic
1.0
-6.0979 1.5225 -2.9723
0.2865 -4.5801 5.2228
1.0553 5.9300 3.5938
Ce Pr S Dy
1 3 6 2
direct
0.0000 0.0000 0.0000
0.5000 0.5000 0.5000
0.8342 0.1658 0.5000
0.1658 0.8342 0.5000
0.9214 0.5827 0.7644
0.4173 0.0786 0.2356
0.2609 0.2609 0.7657
0.5827 0.9214 0.7644
0.0786 0.4173 0.2356
0.7391 0.7391 0.2343
0.6670 0.3330 0.0000
0.3330 0.6670 0.0000

---

# 15
Ce4PrDy3S8, relaxed, DFT PBE; uncorrected formation energy = -2025 meV per atom; crystal system = trigonal
1.0
-1.3615 -6.8119 -3.9004
6.6957 1.0912 -4.2429
0.2986 0.0406 7.9610
S Ce Dy Pr
8 4 3 1
direct
0.7460 0.7381 0.4921
0.7478 0.2560 0.0082
0.7478 0.2560 0.4957
0.2540 0.2619 0.5079
0.2522 0.7440 0.9918
0.7396 0.7440 0.9918
0.2522 0.7440 0.5043
0.2604 0.2560 0.0082
0.5000 0.0000 0.5000
0.0000 0.0000 0.0000
0.5000 0.0000 0.0000
0.0000 0.0000 0.5000
0.5000 0.5000 0.0000
0.0000 0.5000 0.5000
0.5000 0.5000 0.5000
0.0000 0.5000 0.0000

---

# 16
CePrDy4S8, relaxed, DFT PBE; uncorrected formation energy = -1907 meV per atom; crystal system = trigonal
1.0
-1.9414 0.6744 7.8617
-5.4379 -5.0626 3.2909
2.4897 -5.7457 5.3072
S Dy Pr Ce
8 4 1 1
direct
0.7493 0.7493 0.2685
0.2459 0.7809 0.7272
0.7809 0.2459 0.7272
0.2376 0.2376 0.2871
0.7581 0.7581 0.7256
0.2329 0.7493 0.2685
0.7493 0.2329 0.2685
0.2459 0.2459 0.7272
0.5003 0.0001 0.4995
0.0001 0.0001 0.4995
0.6261 0.6261 0.1218
0.0001 0.5003 0.4995
0.9997 0.9997 0.0009
0.3736 0.3736 0.8793

---

# 17
CePr2DyS4, relaxed, DFT PBE; uncorrected formation energy = -2024 meV per atom; crystal system = monoclinic
1.0
4.0146 0.0000 0.0000
0.0000 6.9999 0.1361
0.0000 -2.4306 6.5683
S Ce Dy Pr
4 1 1 2
direct
0.5000 0.2400 0.2350
0.5000 0.7600 0.7650
0.0000 0.2484 0.7610
0.0000 0.7516 0.2390
0.5000 0.5000 0.0000
0.0000 0.0000 0.0000
0.5000 0.0000 0.5000
0.0000 0.5000 0.5000

---

# 18
CePr2Dy3S6, relaxed, DFT PBE; uncorrected formation energy = -2017 meV per atom; crystal system = monoclinic
1.0
-2.6107 -2.9456 0.3852
2.1117 -2.8217 -7.2648
6.6976 -2.5792 5.3684
S Dy Ce Pr
6 3 1 2
direct
0.9956 0.2564 0.9912
0.3307 0.9274 0.6614
0.6693 0.0726 0.3386
0.0044 0.7436 0.0088
0.6629 0.5942 0.3258
0.3371 0.4058 0.6742
0.8326 0.1649 0.6652
0.1674 0.8351 0.3348
0.5000 0.5000 0.0000
0.5000 0.0000 0.0000
0.8340 0.6681 0.6680
0.1660 0.3319 0.3320

---

# 19
Ce3Pr2DySb6, relaxed, DFT PBE; uncorrected formation energy = -1107 meV per atom; crystal system = monoclinic
1.0
-6.7061 1.6616 -3.6154
1.3374 -7.2261 2.6074
-1.2497 3.6232 6.7902
Sb Ce Dy Pr
6 3 1 2
direct
0.2424 0.2424 0.7468
0.7576 0.7576 0.2532
0.0831 0.4106 0.2505
0.4106 0.0831 0.2505
0.9169 0.5894 0.7495
0.5894 0.9169 0.7495
0.5000 0.5000 0.5000
0.8310 0.1690 0.5000
0.1690 0.8310 0.5000
0.0000 0.0000 0.0000
0.3341 0.6659 0.0000
0.6659 0.3341 0.0000

---

# 20
CePr2DySb4, relaxed, DFT PBE; uncorrected formation energy = -1139 meV per atom; crystal system = monoclinic
1.0
4.5007 0.0000 0.0000
0.0000 7.7834 0.1356
0.0000 -2.7200 7.3079
Sb Ce Dy Pr
4 1 1 2
direct
0.5000 0.2447 0.2404
0.0000 0.7500 0.2424
0.5000 0.7553 0.7596
0.0000 0.2500 0.7576
0.5000 0.5000 0.0000
0.0000 0.0000 0.0000
0.0000 0.5000 0.5000
0.5000 0.0000 0.5000

---

E_tot across the listed records, respectively: -4.597 -4.523 -4.943 -4.747 -5.204 -4.568 -6.510 -6.494 -6.575 -6.756 -6.144 -6.739 -6.689 -6.542 -6.734 -6.346 -6.600 -6.522 -5.832 -5.712 eV per atom.